No. 1
Tm2Zn5Cu12 | GGA-PBE | relaxed

Cell: 8.6038 8.6038 12.7217 Å, 90.00 90.00 120.00°
Space group R-3m (No. 166, hexagonal axes)
Symmetry-distinct sites (fractional):
1 Tm 0.0000 0.0000 0.1477 (multiplicity 6)
2 Zn 0.0000 0.0000 0.4007 (multiplicity 6)
3 Zn 0.0000 0.5000 0.0000 (multiplicity 9)
4 Cu 0.0000 0.3047 0.5000 (multiplicity 18)
5 Cu 0.0048 0.5024 0.6539 (multiplicity 18)

Calculated values
As for the electronic total energy: -3.557 eV/atom. As for the density of states at the Fermi level: 28.705 states/eV per cell.

No. 2
Tm3ZnCu8 | GGA-PBE | relaxed

Cell: 5.1043 5.1043 25.0877 Å, 90.00 90.00 120.00°
Space group R3m (No. 160, hexagonal axes)
Symmetry-distinct sites (fractional):
1 Tm 0.0000 0.0000 0.0000 (multiplicity 3)
2 Tm 0.0000 0.0000 0.1272 (multiplicity 3)
3 Tm 0.0000 0.0000 0.6121 (multiplicity 3)
4 Zn 0.0000 0.0000 0.4900 (multiplicity 3)
5 Cu 0.0000 0.0000 0.3075 (multiplicity 3)
6 Cu 0.0000 0.0000 0.8092 (multiplicity 3)
7 Cu 0.0006 0.5003 0.0593 (multiplicity 9)
8 Cu 0.0056 0.5028 0.5578 (multiplicity 9)

Calculated values
As for the electronic total energy: -4.178 eV/atom. As for the density of states at the Fermi level: 20.967 states/eV per cell.

No. 3
TmZn8Cu4 | GGA-PBE | relaxed

Cell: 8.774 8.774 4.969 Å, 90.00 90.00 90.00°
Space group I4/mmm (No. 139)
Symmetry-distinct sites (fractional):
1 Tm 0.000 0.000 0.000 (multiplicity 2)
2 Zn 0.000 0.217 0.500 (multiplicity 8)
3 Zn 0.000 0.347 0.000 (multiplicity 8)
4 Cu 0.250 0.250 0.250 (multiplicity 8)

Calculated values
As for the electronic total energy: -2.584 eV/atom. As for the density of states at the Fermi level: 12.246 states/eV per cell.

No. 4
Tm4ZnCu | GGA-PBE | relaxed

Cell: 4.809 4.809 6.853 Å, 90.00 90.00 90.00°
Space group P4/mmm (No. 123)
Symmetry-distinct sites (fractional):
1 Tm 0.000 0.500 0.245 (multiplicity 4)
2 Zn 0.000 0.000 0.500 (multiplicity 1)
3 Cu 0.500 0.500 0.000 (multiplicity 1)

Calculated values
Its relative energy among the computed polymorphs is 192 meV/atom. As for the density of states at the Fermi level: 5.902 states/eV per cell.

Number 1: total magnetization 0.00 μB per formula unit. Number 2: total magnetization 0.00 μB per formula unit. Number 3: total magnetization 0.00 μB per formula unit. Number 4: total magnetization 0.00 μB per formula unit.